Entry 1:
Computed, not measured: an optimized crystal structure of CeMg11 at the PBE level of DFT.

Computed properties:
E_form = 0.023 eV/atom
calculated density = 2.31 Mg/m³
V = 292.6 Å³/f.u.
total magnetic moment = 0.1129 μB/atom

abc: 7.9073 9.4676 9.4676
angles: 79.96 65.32 65.32
Last column: nearest neighbours and their distance in Å.
Fractional positions:
1 Ce 0.5000 0.0000 0.0000  18 Mg 3.75-3.95
2 Ce 0.2500 0.5000 0.5000  18 Mg 3.75-3.95
3 Mg 0.4288 0.8265 0.4170  8 Mg 2.96-3.30
4 Mg 0.6723 0.1735 0.5830  8 Mg 2.96-3.30
5 Mg 0.0000 0.0000 0.0000  12 Mg 3.20-3.30
6 Mg 0.7500 0.5000 0.5000  12 Mg 3.20-3.30
7 Mg 0.3750 0.7500 0.7500  10 Mg 3.00-3.20
8 Mg 0.8750 0.7500 0.2500  10 Mg 3.00-3.20
9 Mg 0.8750 0.2500 0.7500  10 Mg 3.00-3.20
10 Mg 0.8750 0.2500 0.2500  10 Mg 3.00-3.20
11 Mg 0.4288 0.4170 0.8265  8 Mg 2.96-3.30
12 Mg 0.0053 0.6735 0.9170  8 Mg 2.96-3.30
13 Mg 0.5958 0.3265 0.0830  8 Mg 2.96-3.30
14 Mg 0.6723 0.5830 0.1735  8 Mg 2.96-3.30
15 Mg 0.7447 0.5830 0.8265  8 Mg 2.96-3.30
16 Mg 0.1542 0.4170 0.1735  8 Mg 2.96-3.30
17 Mg 0.0777 0.3265 0.9170  8 Mg 2.96-3.30
18 Mg 0.3212 0.6735 0.0830  8 Mg 2.96-3.30
19 Mg 0.3212 0.0830 0.6735  8 Mg 2.96-3.30
20 Mg 0.7447 0.8265 0.5830  8 Mg 2.96-3.30
21 Mg 0.1542 0.1735 0.4170  8 Mg 2.96-3.30
22 Mg 0.0777 0.9170 0.3265  8 Mg 2.96-3.30
23 Mg 0.0053 0.9170 0.6735  8 Mg 2.96-3.30
24 Mg 0.5958 0.0830 0.3265  8 Mg 2.96-3.30

***

Entry 2:
Computed, not measured: an optimized crystal structure of Pm2Al3Zn2 at the PBE level of DFT.

Computed properties:
E_form = -0.414 eV/atom
calculated density = 5.52 Mg/m³
V = 151.0 Å³/f.u.
total magnetic moment = 0.0000 μB/atom

abc: 4.4621 7.0575 9.8481
angles: 90.00 103.09 90.00
Last column: nearest neighbours and their distance in Å.
Fractional positions:
1 Pm 0.1604 0.2500 0.3208  6 Al 3.18-3.20, 6 Zn 3.18-3.25
2 Pm 0.8396 0.7500 0.6792  6 Al 3.18-3.20, 6 Zn 3.18-3.25
3 Pm 0.9514 0.2500 0.9027  9 Al 3.18-3.32
4 Pm 0.0486 0.7500 0.0973  9 Al 3.18-3.32
5 Al 0.2215 0.7500 0.4430  6 Zn 2.68-2.86
6 Al 0.7785 0.2500 0.5570  6 Zn 2.68-2.86
7 Al 0.5608 0.4300 0.1216  2 Al 2.53-2.54, 1 Zn 2.56
8 Al 0.4392 0.5700 0.8784  2 Al 2.53-2.54, 1 Zn 2.56
9 Al 0.4392 0.9300 0.8784  2 Al 2.53-2.54, 1 Zn 2.56
10 Al 0.5608 0.0700 0.1216  2 Al 2.53-2.54, 1 Zn 2.56
11 Zn 0.6845 0.9351 0.3689  4 Al 2.56-2.86, 1 Zn 2.61
12 Zn 0.3155 0.0649 0.6311  4 Al 2.56-2.86, 1 Zn 2.61
13 Zn 0.3155 0.4351 0.6311  4 Al 2.56-2.86, 1 Zn 2.61
14 Zn 0.6845 0.5649 0.3689  4 Al 2.56-2.86, 1 Zn 2.61

***

Entry 3:
Computed, not measured: an optimized crystal structure of CoMo2 at the PBE level of DFT.

Computed properties:
E_form = 0.625 eV/atom
calculated density = 8.89 Mg/m³
V = 46.8 Å³/f.u.
total magnetic moment = 0.3828 μB/atom

abc: 5.0981 5.0981 5.0981
angles: 60.00 60.00 60.00
Last column: nearest neighbours and their distance in Å.
Fractional positions:
1 Co 0.7500 0.7500 0.7500  12 Mo 2.99, 4 Co 3.12
2 Co 0.5000 0.5000 0.5000  12 Mo 2.99, 4 Co 3.12
3 Mo 0.1250 0.6250 0.1250  6 Mo 2.55
4 Mo 0.1250 0.1250 0.6250  6 Mo 2.55
5 Mo 0.6250 0.1250 0.1250  6 Mo 2.55
6 Mo 0.1250 0.1250 0.1250  6 Mo 2.55

***

Entry 4:
Computed, not measured: an optimized crystal structure of Ca2Bi3Pd2 at the PBE level of DFT.

Computed properties:
E_form = -0.559 eV/atom
calculated density = 8.26 Mg/m³
V = 185.0 Å³/f.u.
total magnetic moment = 0.0000 μB/atom

abc: 4.3975 6.0023 8.0176
angles: 108.58 90.00 111.49
Last column: nearest neighbours and their distance in Å.
Fractional positions:
1 Ca 0.8491 0.6982 0.1944  4 Pd 3.19-3.40, 4 Bi 3.45-3.53
2 Ca 0.1509 0.3018 0.8056  4 Pd 3.19-3.40, 4 Bi 3.45-3.53
3 Bi 0.5000 0.0000 0.0000  4 Pd 3.00
4 Bi 0.6261 0.2522 0.4513  3 Pd 2.89-2.90, 1 Bi 3.17
5 Bi 0.3739 0.7478 0.5487  3 Pd 2.89-2.90, 1 Bi 3.17
6 Pd 0.8479 0.6957 0.7698  5 Bi 2.89-3.00, 2 Ca 3.19
7 Pd 0.1521 0.3043 0.2302  5 Bi 2.89-3.00, 2 Ca 3.19

***

Entry 5:
Computed, not measured: an optimized crystal structure of CrHOsRu2 at the PBE level of DFT.

Computed properties:
E above lowest polymorph = 0.00 eV per formula unit
calculated density = 13.17 Mg/m³
V = 56.1 Å³/f.u.
total magnetic moment = 0.0001 μB/atom

abc: 3.8276 3.8276 3.8325
angles: 90.00 90.00 90.00
Last column: nearest neighbours and their distance in Å.
Fractional positions:
1 Ru 0.0000 0.5000 0.0000  2 H 1.91
2 Ru 0.5000 0.0000 0.0000  2 H 1.91
3 Os 0.5000 0.5000 0.5000  4 Cr 2.71, 8 Ru 2.71
4 H 0.0000 0.0000 0.0000  4 Ru 1.91, 2 Cr 1.92
5 Cr 0.0000 0.0000 0.5000  2 H 1.92

***

Entry 6:
Computed, not measured: an optimized crystal structure of Er2TlCu3S5 at the PBE level of DFT.

Computed properties:
formation energy without anion corrections = -1100.4 meV/atom
calculated density = 6.66 Mg/m³
V = 222.0 Å³/f.u.
total magnetic moment = 0.0000 μB/atom

abc: 7.1889 7.1889 16.3686
angles: 90.00 90.00 148.34
Last column: nearest neighbours and their distance in Å.
Fractional positions:
1 Er 0.8083 0.1917 0.0932  6 S 2.65-2.78
2 Er 0.1917 0.8083 0.9068  6 S 2.65-2.78
3 Er 0.8083 0.1917 0.4068  6 S 2.65-2.78
4 Er 0.1917 0.8083 0.5932  6 S 2.65-2.78
5 Tl 0.0696 0.9304 0.2500  8 S 3.24-3.48, 2 Cu 3.59
6 Tl 0.9304 0.0696 0.7500  8 S 3.24-3.48, 2 Cu 3.59
7 Cu 0.3520 0.6480 0.2500  4 S 2.33-2.53
8 Cu 0.6480 0.3520 0.7500  4 S 2.33-2.53
9 Cu 0.5844 0.4156 0.4627  4 S 2.34-2.49
10 Cu 0.4156 0.5844 0.5373  4 S 2.34-2.49
11 Cu 0.5844 0.4156 0.0373  4 S 2.34-2.49
12 Cu 0.4156 0.5844 0.9627  4 S 2.34-2.49
13 S 0.7612 0.2388 0.2500  2 Cu 2.33
14 S 0.2388 0.7612 0.7500  2 Cu 2.33
15 S 0.5610 0.4390 0.8862  3 Cu 2.37-2.53
16 S 0.4390 0.5610 0.1138  3 Cu 2.37-2.53
17 S 0.5610 0.4390 0.6138  3 Cu 2.37-2.53
18 S 0.4390 0.5610 0.3862  3 Cu 2.37-2.53
19 S 0.8321 0.1679 0.9295  2 Cu 2.34
20 S 0.1679 0.8321 0.0705  2 Cu 2.34
21 S 0.8321 0.1679 0.5705  2 Cu 2.34
22 S 0.1679 0.8321 0.4295  2 Cu 2.34

***

Entry 7:
Computed, not measured: an optimized crystal structure of Ho2Tl2TeO6 at the PBE level of DFT.

Computed properties:
formation energy without anion corrections = -1975.8 meV/atom
calculated density = 7.88 Mg/m³
V = 202.8 Å³/f.u.
total magnetic moment = 0.0000 μB/atom

abc: 5.9600 5.9600 6.8687
angles: 98.27 98.27 119.81
Last column: nearest neighbours and their distance in Å.
Fractional positions:
1 Ho 0.3343 0.6657 0.5000  6 O 2.28-2.30
2 Ho 0.6657 0.3343 0.5000  6 O 2.28-2.30
3 Tl 0.8329 0.1671 0.0000  6 O 2.94-2.99
4 Tl 0.1671 0.8329 0.0000  6 O 2.94-2.99
5 Te 0.0000 0.0000 0.5000  6 O 2.21-2.24
6 O 0.7329 0.7329 0.6665  1 Te 2.21, 2 Ho 2.29
7 O 0.0519 0.3814 0.6659  1 Te 2.24, 2 Ho 2.28-2.30
8 O 0.2671 0.2671 0.3335  1 Te 2.21, 2 Ho 2.29
9 O 0.3814 0.0519 0.6659  1 Te 2.24, 2 Ho 2.28-2.30
10 O 0.9481 0.6186 0.3341  1 Te 2.24, 2 Ho 2.28-2.30
11 O 0.6186 0.9481 0.3341  1 Te 2.24, 2 Ho 2.28-2.30

***

Entry 8:
Computed, not measured: an optimized crystal structure of CdCo2Ru at the PBE level of DFT.

Computed properties:
E_form = 0.738 eV/atom
calculated density = 8.79 Mg/m³
V = 62.6 Å³/f.u.
total magnetic moment = 0.9767 μB/atom

abc: 6.8271 6.8271 5.5240
angles: 51.83 51.83 90.00
Last column: nearest neighbours and their distance in Å.
Fractional positions:
1 Ru 0.5000 0.5000 0.0000  4 Co 2.33
2 Ru 0.2500 0.7500 0.5000  4 Co 2.33
3 Co 0.5852 0.1250 0.2500  2 Ru 2.33
4 Co 0.1648 0.6250 0.2500  2 Ru 2.33
5 Co 0.3750 0.4148 0.7500  2 Ru 2.33
6 Co 0.8750 0.8352 0.7500  2 Ru 2.33
7 Cd 0.0000 0.0000 0.0000  2 Ru 2.69, 8 Co 2.70-3.00
8 Cd 0.7500 0.2500 0.5000  2 Ru 2.69, 8 Co 2.70-3.00

***

Entry 9:
Computed, not measured: an optimized crystal structure of TbCe3Rh2 at the PBE level of DFT.

Computed properties:
E_form = -0.503 eV/atom
calculated density = 9.52 Mg/m³
V = 136.9 Å³/f.u.
total magnetic moment = 0.0000 μB/atom

abc: 4.5496 8.3672 8.4434
angles: 116.56 90.00 105.78
Last column: nearest neighbours and their distance in Å.
Fractional positions:
1 Tb 0.8882 0.7764 0.9703  5 Rh 2.88-3.10
2 Tb 0.1118 0.2236 0.0297  5 Rh 2.88-3.10
3 Ce 0.2897 0.5795 0.6285  2 Rh 2.62-2.71
4 Ce 0.9333 0.8666 0.5727  2 Rh 2.91, 4 Ce 2.93-3.18
5 Ce 0.6243 0.2490 0.6966  4 Rh 2.92-3.16, 2 Ce 3.04
6 Ce 0.3757 0.7510 0.3034  4 Rh 2.92-3.16, 2 Ce 3.04
7 Ce 0.0667 0.1334 0.4273  2 Rh 2.91, 4 Ce 2.93-3.18
8 Ce 0.7103 0.4205 0.3715  2 Rh 2.62-2.71
9 Rh 0.4793 0.9590 0.8139  4 Ce 2.71-2.93, 1 Rh 2.89
10 Rh 0.5207 0.0410 0.1861  4 Ce 2.71-2.93, 1 Rh 2.89
11 Rh 0.7573 0.5146 0.1134  3 Ce 2.62-2.92, 1 Tb 2.88, 2 Rh 2.91
12 Rh 0.2427 0.4854 0.8866  3 Ce 2.62-2.92, 1 Tb 2.88, 2 Rh 2.91

***

Entry 10:
Computed, not measured: an optimized crystal structure of SrGaOs3 at the PBE level of DFT.

Computed properties:
E_form = 3.505 eV/atom
E above lowest polymorph = 10.41 eV per formula unit
calculated density = 9.91 Mg/m³
V = 122.0 Å³/f.u.
total magnetic moment = 1.0003 μB/atom

abc: 4.9596 4.9596 4.9596
angles: 90.00 90.00 90.00
Last column: nearest neighbours and their distance in Å.
Fractional positions:
1 Sr 0.0000 0.0000 0.0000  6 Os 2.48
2 Os 0.0000 0.5000 0.0000  2 Sr 2.48
3 Os 0.0000 0.0000 0.5000  2 Sr 2.48
4 Os 0.5000 0.0000 0.0000  2 Sr 2.48
5 Ga 0.5000 0.5000 0.5000  12 Os 3.51

***

Entry 11:
Computed, not measured: an optimized crystal structure of TiAlRhSe2 at the PBE level of DFT.

Computed properties:
formation energy without anion corrections = 332.3 meV/atom
calculated density = 5.00 Mg/m³
V = 111.5 Å³/f.u.
total magnetic moment = 0.0828 μB/atom

abc: 4.9800 4.4946 4.9800
angles: 90.00 90.00 90.00
Last column: nearest neighbours and their distance in Å.
Fractional positions:
1 Rh 0.0000 0.0000 0.0000  2 Al 2.25, 4 Se 2.49
2 Al 0.0000 0.5000 0.0000  2 Rh 2.25
3 Se 0.0000 0.0000 0.5000  2 Rh 2.49
4 Se 0.5000 0.0000 0.0000  2 Rh 2.49
5 Ti 0.5000 0.5000 0.5000  8 Se 3.35, 4 Al 3.52

***

Entry 12:
Computed, not measured: an optimized crystal structure of HfTlTe at the PBE level of DFT.

Computed properties:
formation energy without anion corrections = -109.5 meV/atom
calculated density = 10.28 Mg/m³
V = 82.5 Å³/f.u.
total magnetic moment = 0.0002 μB/atom

abc: 3.6827 3.6832 14.0374
angles: 90.00 90.00 120.00
Last column: nearest neighbours and their distance in Å.
Fractional positions:
1 Hf 0.4441 0.8882 0.0000  6 Tl 3.15
2 Hf 0.4449 0.8897 0.5000  6 Te 2.87
3 Te 0.7782 0.5563 0.3631  3 Hf 2.87
4 Te 0.7782 0.5563 0.6369  3 Hf 2.87
5 Tl 0.1107 0.2213 0.8348  3 Hf 3.15, 3 Te 3.50
6 Tl 0.1107 0.2213 0.1652  3 Hf 3.15, 3 Te 3.50